A plane-wave DFT calculation with PBE-GGA was carried out for a relaxed structure of PrY3Er2Tm6.

The structure in CIF format:
```
data_PrY3Er2Tm6
_cell_length_a 6.1129
_cell_length_b 6.1129
_cell_length_c 11.7025
_cell_angle_alpha 94.99
_cell_angle_beta 94.99
_cell_angle_gamma 119.94
_space_group_name_H-M_alt 'P 1'
_space_group_IT_number 1
loop_
_space_group_symop_operation_xyz
'x,y,z'
loop_
_atom_site_label
_atom_site_type_symbol
_atom_site_fract_x
_atom_site_fract_y
_atom_site_fract_z
Pr1 Pr 0.0000 0.0000 0.0000
Y1 Y 0.1671 0.8329 0.5000
Y2 Y 0.8329 0.1671 0.5000
Y3 Y 0.5000 0.5000 0.5000
Er1 Er 0.3333 0.6667 0.0000
Er2 Er 0.6667 0.3333 0.0000
Tm1 Tm 0.9162 0.5822 0.7500
Tm2 Tm 0.7495 0.7495 0.2499
Tm3 Tm 0.0838 0.4178 0.2500
Tm4 Tm 0.5822 0.9162 0.7500
Tm5 Tm 0.2505 0.2505 0.7501
Tm6 Tm 0.4178 0.0838 0.2500
```

Output
Fermi-level density of states, states/eV/cell: 17.0
Space group: No. 12
Calculated formation energy, meV/atom: 27